1.
Material: ReP2PbO8
Method: DFT, PBE-GGA
State: optimized geometry

Results
Crystal system: trigonal
Space-group type: R-3, No. 148
Energy relative to the elements, uncorrected, eV per formula unit: -21.58
Total energy, eV/f.u.: -88.2
ρ, g cm⁻³: 6.3

Cell: 8.081 8.081 8.081 Å, 34.97 34.97 34.97°
Fractional coordinates of all 12 atoms:
Re1 0.000 0.000 0.000
P1 0.257 0.257 0.257
P2 0.743 0.743 0.743
Pb1 0.500 0.500 0.500
O1 0.011 0.405 0.746
O2 0.190 0.190 0.190
O3 0.254 0.989 0.595
O4 0.405 0.746 0.011
O5 0.595 0.254 0.989
O6 0.746 0.011 0.405
O7 0.810 0.810 0.810
O8 0.989 0.595 0.254



2.
Material: ReP2PbO
Method: DFT, PBE-GGA
State: optimized geometry

Results
Crystal system: tetragonal
Space-group type: P4/mmm, No. 123
Energy relative to the elements, uncorrected, eV per formula unit: 7.92
Total energy, eV/f.u.: -24.0
Fermi-level density of states, states/eV per atom: 0.50
ρ, g cm⁻³: 7.3
Polymorph energy (0 for the lowest one), kJ/mol of atoms: 168.8

Cell: 5.158 5.158 4.049 Å, 90.00 90.00 90.00°
Fractional coordinates of all 5 atoms:
Re1 0.000 0.000 0.000
P1 0.000 0.500 0.500
P2 0.500 0.000 0.500
Pb1 0.500 0.500 0.500
O1 0.500 0.500 0.000



3.
Material: PRhPb2O
Method: DFT, PBE-GGA
State: optimized geometry

Results
Crystal system: tetragonal
Space-group type: P4/mmm, No. 123
Energy relative to the elements, uncorrected, eV per formula unit: 0.30
Total energy, eV/f.u.: -24.8
Fermi-level density of states, states/eV per atom: 0.85
ρ, g cm⁻³: 8.9

Cell: 5.161 5.161 3.945 Å, 90.00 90.00 90.00°
Fractional coordinates of all 5 atoms:
P1 0.000 0.000 0.000
Rh1 0.500 0.500 0.000
Pb1 0.000 0.500 0.500
Pb2 0.500 0.000 0.500
O1 0.500 0.500 0.500



4.
Material: P2RhPbO8
Method: DFT, PBE-GGA
State: optimized geometry

Results
Crystal system: trigonal
Space-group type: R-3, No. 148
Energy relative to the elements, uncorrected, eV per formula unit: -19.69
Total energy, eV/f.u.: -81.2
Fermi-level density of states, states/eV per atom: 0.31
ρ, g cm⁻³: 5.5

Cell: 8.003 8.003 8.003 Å, 34.99 34.99 34.99°
Fractional coordinates of all 12 atoms:
P1 0.241 0.241 0.241
P2 0.759 0.759 0.759
Rh1 0.500 0.500 0.500
Pb1 0.000 0.000 0.000
O1 0.097 0.763 0.480
O2 0.237 0.520 0.903
O3 0.309 0.309 0.309
O4 0.480 0.097 0.763
O5 0.520 0.903 0.237
O6 0.691 0.691 0.691
O7 0.763 0.480 0.097
O8 0.903 0.237 0.520



5.
Material: P2RuPbO
Method: DFT, PBE-GGA
State: optimized geometry

Results
Crystal system: tetragonal
Space-group type: P4/mmm, No. 123
Energy relative to the elements, uncorrected, eV per formula unit: 0.14
Total energy, eV/f.u.: -28.6
Fermi-level density of states, states/eV per atom: 1.07
ρ, g cm⁻³: 7.1
Polymorph energy (0 for the lowest one), kJ/mol of atoms: 0.0

Cell: 4.911 4.911 3.743 Å, 90.00 90.00 90.00°
Fractional coordinates of all 5 atoms:
P1 0.000 0.500 0.000
P2 0.500 0.000 0.000
Ru1 0.000 0.000 0.000
Pb1 0.500 0.500 0.500
O1 0.000 0.000 0.500



6.
Material: P2RuPbO
Method: DFT, PBE-GGA
State: optimized geometry

Results
Crystal system: tetragonal
Space-group type: P4/mmm, No. 123
Energy relative to the elements, uncorrected, eV per formula unit: 7.02
Total energy, eV/f.u.: -21.7
Fermi-level density of states, states/eV per atom: 1.19
ρ, g cm⁻³: 5.9
Polymorph energy (0 for the lowest one), kJ/mol of atoms: 132.7

Cell: 5.179 5.179 4.056 Å, 90.00 90.00 90.00°
Fractional coordinates of all 5 atoms:
P1 0.000 0.500 0.000
P2 0.500 0.000 0.000
Ru1 0.000 0.000 0.500
Pb1 0.500 0.500 0.000
O1 0.500 0.500 0.500



7.
Material: PPbS2O
Method: DFT, PBE-GGA
State: optimized geometry

Results
Crystal system: tetragonal
Space-group type: P4/mmm, No. 123
Energy relative to the elements, uncorrected, eV per formula unit: 2.00
Total energy, eV/f.u.: -20.3
Fermi-level density of states, states/eV per atom: 0.73
ρ, g cm⁻³: 5.6
Polymorph energy (0 for the lowest one), kJ/mol of atoms: 0.0

Cell: 5.071 5.071 3.675 Å, 90.00 90.00 90.00°
Fractional coordinates of all 5 atoms:
P1 0.000 0.000 0.000
Pb1 0.500 0.500 0.000
S1 0.000 0.500 0.500
S2 0.500 0.000 0.500
O1 0.000 0.000 0.500



8.
Material: PPbSO2
Method: DFT, PBE-GGA
State: optimized geometry

Results
Crystal system: tetragonal
Space-group type: P4/mmm, No. 123
Energy relative to the elements, uncorrected, eV per formula unit: 2.51
Total energy, eV/f.u.: -20.6
Fermi-level density of states, states/eV per atom: 0.79
ρ, g cm⁻³: 4.7

Cell: 3.985 3.985 6.703 Å, 90.00 90.00 90.00°
Fractional coordinates of all 5 atoms:
P1 0.000 0.000 0.000
Pb1 0.000 0.000 0.500
S1 0.500 0.500 0.000
O1 0.000 0.500 0.500
O2 0.500 0.000 0.500



9.
Material: P2PbSO
Method: DFT, PBE-GGA
State: optimized geometry

Results
Crystal system: tetragonal
Space-group type: P4/mmm, No. 123
Energy relative to the elements, uncorrected, eV per formula unit: 5.54
Total energy, eV/f.u.: -18.1
Fermi-level density of states, states/eV per atom: 0.71
ρ, g cm⁻³: 4.4
Polymorph energy (0 for the lowest one), kJ/mol of atoms: 75.7

Cell: 5.373 5.373 4.125 Å, 90.00 90.00 90.00°
Fractional coordinates of all 5 atoms:
P1 0.000 0.500 0.000
P2 0.500 0.000 0.000
Pb1 0.000 0.000 0.000
S1 0.500 0.500 0.500
O1 0.000 0.000 0.500



10.
Material: PPbSO2
Method: DFT, PBE-GGA
State: optimized geometry

Results
Crystal system: tetragonal
Space-group type: P4/mmm, No. 123
Energy relative to the elements, uncorrected, eV per formula unit: 0.24
Total energy, eV/f.u.: -22.9
Fermi-level density of states, states/eV per atom: 0.10
ρ, g cm⁻³: 7.0

Cell: 3.897 3.897 4.702 Å, 90.00 90.00 90.00°
Fractional coordinates of all 5 atoms:
P1 0.000 0.000 0.000
Pb1 0.500 0.500 0.000
S1 0.000 0.000 0.500
O1 0.000 0.500 0.500
O2 0.500 0.000 0.500



11.
Material: P2PbSO
Method: DFT, PBE-GGA
State: optimized geometry

Results
Crystal system: tetragonal
Space-group type: P4/mmm, No. 123
Energy relative to the elements, uncorrected, eV per formula unit: 1.62
Total energy, eV/f.u.: -22.0
Fermi-level density of states, states/eV per atom: 0.80
ρ, g cm⁻³: 5.2
Polymorph energy (0 for the lowest one), kJ/mol of atoms: 0.0

Cell: 3.953 3.953 6.510 Å, 90.00 90.00 90.00°
Fractional coordinates of all 5 atoms:
P1 0.000 0.500 0.000
P2 0.500 0.000 0.000
Pb1 0.000 0.000 0.500
S1 0.500 0.500 0.500
O1 0.500 0.500 0.000



12.
Material: P2PbSO
Method: DFT, PBE-GGA
State: optimized geometry

Results
Crystal system: tetragonal
Space-group type: P4/mmm, No. 123
Energy relative to the elements, uncorrected, eV per formula unit: 8.54
Total energy, eV/f.u.: -15.1
Fermi-level density of states, states/eV per atom: 1.14
ρ, g cm⁻³: 3.5
Polymorph energy (0 for the lowest one), kJ/mol of atoms: 133.6

Cell: 5.376 5.376 5.263 Å, 90.00 90.00 90.00°
Fractional coordinates of all 5 atoms:
P1 0.000 0.500 0.000
P2 0.500 0.000 0.000
Pb1 0.000 0.000 0.000
S1 0.000 0.000 0.500
O1 0.500 0.500 0.500



- Look up the total energy of the second one.
  -24.0 eV/f.u.



- Which value of energy relative to the elements, uncorrected does entry 1 give?
  -21.58 eV per formula unit



- Among the records above, which one has the lowest ρ?
  number 12